Material: Ni3Hg3RhO8
Method: DFT, GGA+U
State: relaxed

a b c (Å): 10.8530 6.2290 7.7022
angles (deg): 90.00 128.26 90.00
Space group C2/m (No. 12)
One atom of each set of equivalent atoms:
1 Ni 0.0000 0.0000 0.0000
2 Ni 0.2500 0.2500 0.0000
3 Hg 0.0000 0.0000 0.5000
4 Hg 0.2500 0.2500 0.5000
5 Rh 0.0000 0.5000 0.0000
6 O 0.0894 0.5000 0.8397
7 O 0.0937 0.0000 0.8278
8 O 0.1545 0.2522 0.1726

Values from the calculation:
- density (g cm⁻³) = 8.19
- raw total energy (Ha/atom) = -0.160